No. 1
ScPt2Cl | PBE-GGA | relaxed

Summary:
- Energy relative to the elements, uncorrected: -0.461 eV per atom
- E above lowest polymorph: 369 meV per atom
- VASP energy: -5.53 eV per atom

Lattice parameters (Å, degrees): 4.6280 4.6280 4.6280 120.05 120.05 89.92
With the nearest neighbours (Å) after each atom.
Fractional positions:
1 Cl 0.7500 0.2500 0.5000  4 Pt 2.83, 4 Sc 2.83
2 Pt 0.0000 0.0000 0.0000  4 Pt 2.83, 4 Cl 2.83
3 Pt 0.2500 0.7500 0.5000  4 Sc 2.83, 4 Pt 2.83
4 Sc 0.5000 0.5000 0.0000  4 Cl 2.83, 4 Pt 2.83

No. 2
La6Bi3As2Se | PBE-GGA | relaxed

Summary:
- Energy relative to the elements, uncorrected: -1.382 eV per atom
- VASP energy: -5.88 eV per atom

Lattice parameters (Å, degrees): 4.5199 9.0829 10.1361 103.24 102.88 90.00
With the nearest neighbours (Å) after each atom.
Fractional positions:
1 La 0.3352 0.9032 0.6705  2 As 3.11, 1 Se 3.17, 3 Bi 3.27-3.29
2 La 0.6714 0.5722 0.3428  3 As 3.12, 3 Bi 3.30
3 La 0.6648 0.0968 0.3295  2 As 3.11, 1 Se 3.17, 3 Bi 3.27-3.29
4 La 0.0054 0.2447 0.0108  1 As 3.09, 2 Se 3.15, 3 Bi 3.26-3.28
5 La 0.9946 0.7553 0.9892  1 As 3.09, 2 Se 3.15, 3 Bi 3.26-3.28
6 La 0.3286 0.4278 0.6572  3 As 3.12, 3 Bi 3.30
7 Bi 0.5000 0.5000 0.0000  6 La 3.26-3.30
8 Bi 0.8349 0.1662 0.6698  6 La 3.27-3.30
9 Bi 0.1651 0.8338 0.3302  6 La 3.27-3.30
10 As 0.8338 0.6678 0.6675  6 La 3.09-3.12
11 As 0.1662 0.3322 0.3325  6 La 3.09-3.12
12 Se 0.5000 0.0000 0.0000  6 La 3.15-3.17

No. 3
Tb2PmY6Ho3 | PBE-GGA | relaxed

Summary:
- DFT formation energy: 20 meV per atom
- VASP energy: -5.52 eV per atom

Lattice parameters (Å, degrees): 6.1712 6.1712 11.8095 94.98 94.98 119.95
With the nearest neighbours (Å) after each atom.
Fractional positions:
1 Tb 0.3334 0.6666 0.0000  3 Tb 3.56-3.57, 3 Pm 3.56, 6 Y 3.57-3.58
2 Tb 0.6666 0.3334 0.0000  3 Tb 3.56-3.57, 3 Pm 3.56, 6 Y 3.57-3.58
3 Pm 0.0000 0.0000 0.0000  6 Tb 3.56, 6 Y 3.58
4 Y 0.9156 0.5820 0.7484  3 Ho 3.54-3.55, 6 Y 3.56-3.57, 2 Tb 3.57-3.58, 1 Pm 3.58
5 Y 0.7505 0.7505 0.2517  3 Ho 3.55, 6 Y 3.56-3.57, 1 Pm 3.58, 2 Tb 3.58
6 Y 0.0844 0.4180 0.2516  3 Ho 3.54-3.55, 6 Y 3.56-3.57, 2 Tb 3.57-3.58, 1 Pm 3.58
7 Y 0.5820 0.9156 0.7484  3 Ho 3.54-3.55, 6 Y 3.56-3.57, 2 Tb 3.57-3.58, 1 Pm 3.58
8 Y 0.2495 0.2495 0.7483  3 Ho 3.55, 6 Y 3.56-3.57, 1 Pm 3.58, 2 Tb 3.58
9 Y 0.4180 0.0844 0.2516  3 Ho 3.54-3.55, 6 Y 3.56-3.57, 2 Tb 3.57-3.58, 1 Pm 3.58
10 Ho 0.1668 0.8332 0.5000  6 Y 3.54-3.55, 6 Ho 3.56-3.57
11 Ho 0.8332 0.1668 0.5000  6 Y 3.54-3.55, 6 Ho 3.56-3.57
12 Ho 0.5000 0.5000 0.5000  6 Y 3.55, 6 Ho 3.56-3.57

- What is the VASP energy in the first record?
  -5.53 eV per atom